(1)
A geometry-optimized SmLuRh structure. Source: the Alexandria database, functional PBE.

abc: 3.449 3.449 6.724
angles: 104.86 104.86 90.00
Atoms (fractional coordinates):
Lu1 0.295 0.295 0.589
Rh1 0.675 0.675 0.349
Sm1 0.031 0.031 0.061

Values from the calculation:
Symmetry ... I4mm
DOS at the Fermi energy ... 3.88 states/eV/cell
Excess energy over the best structure of this formula in the dataset ... 6 kJ/mol of formula units



(2)
A geometry-optimized SmLu3Rh structure. Source: the Alexandria database, functional PBE.

abc: 5.305 5.305 5.305
angles: 90.00 90.00 90.00
Atoms (fractional coordinates):
Lu1 0.000 0.500 0.000
Lu2 0.000 0.000 0.500
Lu3 0.500 0.000 0.000
Rh1 0.000 0.000 0.000
Sm1 0.500 0.500 0.500

Values from the calculation:
Symmetry ... Pm-3m
DOS at the Fermi energy ... 6.76 states/eV/cell



(3)
A geometry-optimized SmLu2Rh structure. Source: the Alexandria database, functional PBE.

abc: 3.683 3.683 9.662
angles: 79.01 79.01 60.00
Atoms (fractional coordinates):
Lu1 0.274 0.274 0.177
Lu2 0.726 0.726 0.823
Rh1 0.000 0.000 0.000
Sm1 0.500 0.500 0.500

Values from the calculation:
Symmetry ... R-3m
DOS at the Fermi energy ... 3.91 states/eV/cell
Excess energy over the best structure of this formula in the dataset ... 47 kJ/mol of formula units



(4)
A geometry-optimized Sm2LuRh structure. Source: the Alexandria database, functional PBE.

abc: 3.569 3.569 8.568
angles: 90.00 90.00 90.00
Last column: magnetic moment on the atom in μB.
Atoms (fractional coordinates):
Lu1 0.500 0.500 0.500  -0.20
Rh1 0.500 0.500 0.000  -0.04
Sm1 0.000 0.000 0.807  -0.05
Sm2 0.000 0.000 0.193  -0.05

Values from the calculation:
Symmetry ... P4/mmm
DOS at the Fermi energy ... 5.93 states/eV/cell
Excess energy over the best structure of this formula in the dataset ... 0 kJ/mol of formula units



(5)
A geometry-optimized SmLuSnRh structure. Source: the Alexandria database, functional PBE.

abc: 5.104 5.104 5.104
angles: 60.00 60.00 60.00
Atoms (fractional coordinates):
Lu1 0.000 0.000 0.000
Rh1 0.750 0.750 0.750
Sn1 0.250 0.250 0.250
Sm1 0.500 0.500 0.500

Values from the calculation:
Symmetry ... F-43m
DOS at the Fermi energy ... 2.42 states/eV/cell



(6)
A geometry-optimized LuSnRh structure. Source: the Alexandria database, functional PBE.

abc: 3.286 3.286 6.107
angles: 105.61 105.61 90.00
Atoms (fractional coordinates):
Lu1 0.300 0.300 0.600
Rh1 0.954 0.954 0.907
Sn1 0.596 0.596 0.192

Values from the calculation:
Symmetry ... I4mm
DOS at the Fermi energy ... 1.22 states/eV/cell



(7)
A geometry-optimized LuSnRh structure. Source: the Alexandria database, functional PBE.

abc: 3.329 4.632 4.632
angles: 120.00 90.00 90.00
Atoms (fractional coordinates):
Lu1 0.667 0.667 0.333
Rh1 0.166 0.333 0.667
Sn1 0.167 0.000 0.000

Values from the calculation:
Symmetry ... P-6m2
DOS at the Fermi energy ... 1.89 states/eV/cell



(8)
A geometry-optimized LuSnRh structure. Source: the Alexandria database, functional PBE.

abc: 3.627 7.632 7.632
angles: 120.00 90.00 90.00
Atoms (fractional coordinates):
Lu1 0.000 0.000 0.601
Lu2 0.000 0.601 0.000
Lu3 0.000 0.399 0.399
Rh1 0.500 0.667 0.333
Rh2 0.500 0.333 0.667
Rh3 0.000 0.000 0.000
Sn1 0.500 0.269 0.000
Sn2 0.500 0.000 0.269
Sn3 0.500 0.731 0.731

Values from the calculation:
Symmetry ... P-62m
DOS at the Fermi energy ... 4.30 states/eV/cell



(9)
A geometry-optimized LuSnRh4 structure. Source: the Alexandria database, functional PBE.

abc: 5.260 5.260 5.260
angles: 60.00 60.00 60.00
Atoms (fractional coordinates):
Lu1 0.250 0.250 0.250
Rh1 0.626 0.626 0.123
Rh2 0.626 0.123 0.626
Rh3 0.626 0.626 0.626
Rh4 0.123 0.626 0.626
Sn1 0.000 0.000 0.000

Values from the calculation:
Symmetry ... F-43m
DOS at the Fermi energy ... 4.79 states/eV/cell



(10)
A geometry-optimized LuTcSnRh structure. Source: the Alexandria database, functional PBE.

abc: 4.651 4.651 4.651
angles: 60.00 60.00 60.00
Atoms (fractional coordinates):
Lu1 0.750 0.750 0.750
Rh1 0.000 0.000 0.000
Sn1 0.250 0.250 0.250
Tc1 0.500 0.500 0.500

Values from the calculation:
Symmetry ... F-43m
DOS at the Fermi energy ... 5.20 states/eV/cell



(11)
A geometry-optimized SrLuRh4 structure. Source: the Alexandria database, functional PBE.

abc: 5.380 5.380 5.380
angles: 60.00 60.00 60.00
Atoms (fractional coordinates):
Sr1 0.250 0.250 0.250
Lu1 0.000 0.000 0.000
Rh1 0.625 0.625 0.124
Rh2 0.625 0.124 0.625
Rh3 0.625 0.625 0.625
Rh4 0.124 0.625 0.625

Values from the calculation:
Symmetry ... F-43m
DOS at the Fermi energy ... 2.75 states/eV/cell



(12)
A geometry-optimized LuTaRh2 structure. Source: the Alexandria database, functional PBE.

abc: 3.157 3.157 7.098
angles: 90.00 90.00 90.00
Atoms (fractional coordinates):
Lu1 0.500 0.500 0.500
Rh1 0.000 0.000 0.779
Rh2 0.000 0.000 0.221
Ta1 0.500 0.500 0.000

Values from the calculation:
Symmetry ... P4/mmm
DOS at the Fermi energy ... 3.47 states/eV/cell
Excess energy over the best structure of this formula in the dataset ... 0 kJ/mol of formula units



(13)
A geometry-optimized LuTaRh2 structure. Source: the Alexandria database, functional PBE.

abc: 4.620 4.620 4.620
angles: 60.00 60.00 60.00
Atoms (fractional coordinates):
Lu1 0.000 0.000 0.000
Rh1 0.250 0.250 0.250
Rh2 0.750 0.750 0.750
Ta1 0.500 0.500 0.500

Values from the calculation:
Symmetry ... Fm-3m
DOS at the Fermi energy ... 4.81 states/eV/cell
Excess energy over the best structure of this formula in the dataset ... 30 kJ/mol of formula units



(14)
A geometry-optimized TbLuRh structure. Source: the Alexandria database, functional PBE.

abc: 4.770 4.770 4.770
angles: 60.00 60.00 60.00
Atoms (fractional coordinates):
Rh1 0.250 0.250 0.250
Lu1 0.000 0.000 0.000
Tb1 0.500 0.500 0.500

Values from the calculation:
Symmetry ... F-43m
DOS at the Fermi energy ... 2.73 states/eV/cell
Excess energy over the best structure of this formula in the dataset ... 0 kJ/mol of formula units



(15)
A geometry-optimized TbLuRh2 structure. Source: the Alexandria database, functional PBE.

abc: 3.342 3.342 7.017
angles: 90.00 90.00 90.00
Atoms (fractional coordinates):
Tb1 0.500 0.500 0.500
Lu1 0.500 0.500 0.000
Rh1 0.000 0.000 0.759
Rh2 0.000 0.000 0.241

Values from the calculation:
Symmetry ... P4/mmm
DOS at the Fermi energy ... 1.63 states/eV/cell



(16)
A geometry-optimized TbLuRh structure. Source: the Alexandria database, functional PBE.

abc: 3.989 4.553 4.553
angles: 120.00 90.00 90.00
Atoms (fractional coordinates):
Rh1 0.020 0.000 0.000
Lu1 0.253 0.333 0.667
Tb1 0.727 0.667 0.333

Values from the calculation:
Symmetry ... P3m1
DOS at the Fermi energy ... 2.90 states/eV/cell
Excess energy over the best structure of this formula in the dataset ... 55 kJ/mol of formula units



(17)
A geometry-optimized TbLuRh2 structure. Source: the Alexandria database, functional PBE.

abc: 3.461 4.759 4.759
angles: 90.00 90.00 90.00
Atoms (fractional coordinates):
Rh1 0.000 0.000 0.500
Rh2 0.000 0.500 0.000
Lu1 0.500 0.500 0.500
Tb1 0.500 0.000 0.000

Values from the calculation:
Symmetry ... P4/mmm
DOS at the Fermi energy ... 2.15 states/eV/cell



(18)
A geometry-optimized TbLuRh2 structure. Source: the Alexandria database, functional PBE.

abc: 4.804 4.804 4.804
angles: 60.00 60.00 60.00
Atoms (fractional coordinates):
Rh1 0.250 0.250 0.250
Rh2 0.750 0.750 0.750
Lu1 0.500 0.500 0.500
Tb1 0.000 0.000 0.000

Values from the calculation:
Symmetry ... Fm-3m
DOS at the Fermi energy ... 2.37 states/eV/cell



(19)
A geometry-optimized TbLu2Rh structure. Source: the Alexandria database, functional PBE.

abc: 3.427 3.427 8.470
angles: 90.00 90.00 90.00
Atoms (fractional coordinates):
Rh1 0.500 0.500 0.000
Lu1 0.000 0.000 0.810
Lu2 0.000 0.000 0.190
Tb1 0.500 0.500 0.500

Values from the calculation:
Symmetry ... P4/mmm
DOS at the Fermi energy ... 4.54 states/eV/cell



(20)
A geometry-optimized TbLuRh structure. Source: the Alexandria database, functional PBE.

abc: 3.419 3.419 6.684
angles: 104.82 104.82 90.00
Atoms (fractional coordinates):
Rh1 0.671 0.671 0.342
Lu1 0.296 0.296 0.593
Tb1 0.033 0.033 0.065

Values from the calculation:
Symmetry ... I4mm
DOS at the Fermi energy ... 3.59 states/eV/cell
Excess energy over the best structure of this formula in the dataset ... 8 kJ/mol of formula units



Computed ΔH_f (0 K) (eV per atom) in order:
-0.55, -0.30, -0.36, -0.29, -0.63, -0.68, -0.75, -0.91, -0.48, -0.45, -0.49, -0.66, -0.58, -0.62, -0.92, -0.43, -0.92, -0.92, -0.48, -0.59